[1]
## TbIn2Pd9 (PBE)

Data for crystalline TbIn2Pd9 at its relaxed geometry.

abc: 4.073 4.073 12.213
angles: 90.00 90.00 90.00
Fractional coordinates of all 12 atoms:
Tb (0.000, 0.000, 0.000)
In (0.000, 0.000, 0.338)
In (0.000, 0.000, 0.662)
Pd (0.000, 0.500, 0.173)
Pd (0.000, 0.500, 0.500)
Pd (0.000, 0.500, 0.827)
Pd (0.500, 0.000, 0.173)
Pd (0.500, 0.000, 0.500)
Pd (0.500, 0.000, 0.827)
Pd (0.500, 0.500, 0.000)
Pd (0.500, 0.500, 0.335)
Pd (0.500, 0.500, 0.665)

Computed properties:
- Uncorrected energy: -5.31 eV/atom
- D(E_F): 10.6 states/eV per cell
- Crystal system: tetragonal
- Formation energy from the elements: -0.577 eV per atom

***

[2]
## La6DyHg2 (PBE)

Data for crystalline La6DyHg2 at its relaxed geometry.

abc: 6.868 6.868 12.336
angles: 107.65 107.65 32.68
Fractional coordinates of all 9 atoms:
La (0.024, 0.024, 0.336)
La (0.307, 0.307, 0.406)
La (0.316, 0.316, 0.124)
La (0.684, 0.684, 0.876)
La (0.693, 0.693, 0.594)
La (0.976, 0.976, 0.664)
Dy (0.000, 0.000, 0.000)
Hg (0.364, 0.364, 0.813)
Hg (0.636, 0.636, 0.187)

Computed properties:
- Uncorrected energy: -4.09 eV/atom
- D(E_F): 11.6 states/eV per cell
- Crystal system: monoclinic
- Formation energy from the elements: -0.223 eV per atom

***

Asked for total moment across the records above, the calculation gives 0.0, 0.0 μB per formula unit in order.